# 1
The following is a GGA-PBEsol calculation of a relaxed Y3CrTe crystal, from the Alexandria database.

Cell lengths 5.562, 5.562, 5.562 Å; angles 90.00, 90.00, 90.00 degrees
Positions (direct):
Y1 0.000 0.500 0.000
Y2 0.000 0.000 0.500
Y3 0.500 0.000 0.000
Cr1 0.500 0.500 0.500
Te1 0.000 0.000 0.000

Results
* formation energy (no corrections): 0.43 eV per atom
* density: 4.31 g cm⁻³
* electronic total energy: -32.1 eV/cell
* magnetic moment: 4.93 μB/f.u.

# 2
The following is a GGA-PBEsol calculation of a relaxed LuNiGe2 crystal, from the Alexandria database.

Cell lengths 4.059, 8.341, 9.064 Å; angles 117.40, 102.94, 90.00 degrees
Positions (direct):
Lu1 0.500 0.238 0.000
Lu2 0.500 0.762 0.000
Lu3 0.296 0.796 0.593
Lu4 0.704 0.204 0.407
Ni1 0.147 0.899 0.295
Ni2 0.853 0.101 0.705
Ni3 0.147 0.396 0.295
Ni4 0.853 0.604 0.705
Ge1 0.303 0.145 0.606
Ge2 0.080 0.580 0.160
Ge3 0.077 0.077 0.155
Ge4 0.697 0.855 0.394
Ge5 0.923 0.923 0.845
Ge6 0.303 0.461 0.606
Ge7 0.920 0.420 0.840
Ge8 0.697 0.539 0.394

Results
* density: 9.55 g cm⁻³
* E_form: -282 kJ/mol of formula units
* electronic total energy: -95.3 eV/cell
* magnetic moment: 0.00 μB/f.u.

# 3
The following is a GGA-PBEsol calculation of a relaxed ZrBeSb2 crystal, from the Alexandria database.

Cell lengths 3.578, 4.891, 5.443 Å; angles 116.70, 109.19, 90.00 degrees
Positions (direct):
Sb1 0.963 0.963 0.926
Sb2 0.748 0.248 0.495
Zr1 0.528 0.528 0.056
Be1 0.261 0.761 0.523

Results
* formation energy (no corrections): -0.02 eV per atom
* density: 7.21 g cm⁻³
* electronic total energy: -22.3 eV/cell
* magnetic moment: 0.00 μB/f.u.

# 4
The following is a GGA-PBEsol calculation of a relaxed ScSi3Ru crystal, from the Alexandria database.

Cell lengths 4.676, 4.676, 4.676 Å; angles 90.00, 90.00, 90.00 degrees
Positions (direct):
Sc1 0.000 0.000 0.000
Ru1 0.500 0.500 0.500
Si1 0.000 0.500 0.000
Si2 0.000 0.000 0.500
Si3 0.500 0.000 0.000

Results
* formation energy (no corrections): 1.58 eV per atom
* density: 3.74 g cm⁻³
* electronic total energy: -26.1 eV/cell
* magnetic moment: 1.36 μB/f.u.

# 5
The following is a GGA-PBEsol calculation of a relaxed AlRh2Br crystal, from the Alexandria database.

Cell lengths 2.983, 2.983, 7.336 Å; angles 90.00, 90.00, 90.00 degrees
Positions (direct):
Rh1 0.000 0.000 0.018
Rh2 0.500 0.500 0.261
Al1 0.000 0.000 0.436
Br1 0.500 0.500 0.784

Results
* formation energy (no corrections): 0.06 eV per atom
* density: 7.96 g cm⁻³
* energy relative to the lowest polymorph listed for this composition: 0 meV per atom
* electronic total energy: -22.0 eV/cell
* magnetic moment: 0.10 μB/f.u.

# 6
The following is a GGA-PBEsol calculation of a relaxed Co2IrSe crystal, from the Alexandria database.

Cell lengths 2.689, 4.349, 4.349 Å; angles 90.00, 90.00, 90.00 degrees
Positions (direct):
Ir1 0.500 0.500 0.500
Co1 0.000 0.000 0.500
Co2 0.000 0.500 0.000
Se1 0.500 0.000 0.000

Results
* formation energy (no corrections): 0.34 eV per atom
* density: 12.71 g cm⁻³
* electronic total energy: -27.8 eV/cell
* magnetic moment: 1.92 μB/f.u.

> The lowest density belongs to which entry?

ScSi3Ru